# 1
# PBE Gd3Ta5N12, relaxed
data_Gd3Ta5N12
_chemical_formula_sum 'Gd24 Ta40 N96'
_space_group_name_H-M_alt 'I a -3 d'
_space_group_IT_number 230
_space_group_name_Hall '-I 4bd 2c 3'
_cell_length_a 13.015
_cell_length_b 13.015
_cell_length_c 13.015
_cell_angle_alpha 90.00
_cell_angle_beta 90.00
_cell_angle_gamma 90.00
loop_
_atom_site_label
_atom_site_fract_x
_atom_site_fract_y
_atom_site_fract_z
Gd1 0.000 0.250 0.125
Ta1 0.000 0.000 0.000
Ta2 0.000 0.250 0.375
N1 0.029 0.054 0.649
# crystal system = cubic
# uncorrected formation energy = -1.10 eV/atom
# DOS at the Fermi energy = 0.4452 states/eV/atom

---

# 2
# PBE BeCuRu2, relaxed
data_BeCuRu2
_chemical_formula_sum 'Be1 Cu1 Ru2'
_space_group_name_H-M_alt 'P m m m'
_space_group_IT_number 47
_space_group_name_Hall '-P 2 2'
_cell_length_a 2.840
_cell_length_b 4.127
_cell_length_c 4.310
_cell_angle_alpha 90.00
_cell_angle_beta 90.00
_cell_angle_gamma 90.00
loop_
_atom_site_label
_atom_site_fract_x
_atom_site_fract_y
_atom_site_fract_z
Be1 0.000 0.000 0.000
Cu1 0.500 0.000 0.500
Ru1 0.000 0.500 0.500
Ru2 0.500 0.500 0.000
# formation energy = 1.00 eV per formula unit
# crystal system = orthorhombic
# DOS at the Fermi energy = 0.8549 states/eV/atom

---

# 3
# PBE ZrAlSi, relaxed
data_ZrAlSi
_chemical_formula_sum 'Zr4 Al4 Si4'
_space_group_name_H-M_alt 'F -4 3 m'
_space_group_IT_number 216
_space_group_name_Hall 'F -4 2 3'
_cell_length_a 6.137
_cell_length_b 6.137
_cell_length_c 6.137
_cell_angle_alpha 90.00
_cell_angle_beta 90.00
_cell_angle_gamma 90.00
loop_
_atom_site_label
_atom_site_fract_x
_atom_site_fract_y
_atom_site_fract_z
Zr1 0.000 0.000 0.000
Al1 0.000 0.000 0.500
Si1 0.250 0.250 0.750
# crystal system = cubic
# uncorrected formation energy = -0.06 eV/atom
# DOS at the Fermi energy = 1.3062 states/eV/atom

---

# 4
# PBE Tb2PrSm4Ho, relaxed
data_Tb2PrSm4Ho
_chemical_formula_sum 'Tb2 Pr1 Sm4 Ho1'
_space_group_name_H-M_alt 'P 1 2/m 1'
_space_group_IT_number 10
_space_group_name_Hall '-P 2y'
_cell_length_a 6.239
_cell_length_b 3.616
_cell_length_c 11.973
_cell_angle_alpha 90.00
_cell_angle_beta 100.16
_cell_angle_gamma 90.00
loop_
_atom_site_label
_atom_site_fract_x
_atom_site_fract_y
_atom_site_fract_z
Tb1 0.000 0.000 0.000
Tb2 0.000 0.500 0.500
Pr1 0.500 0.000 0.500
Sm1 0.249 0.500 0.247
Sm2 0.250 0.000 0.752
Ho1 0.500 0.500 0.000
# formation energy = 0.14 eV per formula unit
# crystal system = monoclinic
# DOS at the Fermi energy = 1.4293 states/eV/atom